This record from the Alexandria database describes PrHo2S after structural relaxation. The functional is GGA-PBE.

The value obtained for the total energy is -21.119 eV per formula unit. As for the volume: 118 Å³/cell. The calculation puts the mass density at 7.09 g/cm³. The formation energy (no corrections) is -764 meV/atom. As for the excess energy over the best structure of this formula in the dataset: 177 meV per atom.

Cell and atoms, written as POSCAR:
```
PrHo2S
1.0
1.827 1.055 10.191
-1.827 1.055 10.191
0.000 -2.110 10.191
Pr Ho S
1 2 1
Direct
0.000 0.000 0.000 Pr
0.113 0.113 0.113 Ho
0.887 0.887 0.887 Ho
0.500 0.500 0.500 S
```

This record from the Alexandria database describes Pr3Ho4S8 after structural relaxation. The functional is GGA-PBE.

The value obtained for the total energy is -95.978 eV per formula unit. As for the volume: 359 Å³/cell. The calculation puts the mass density at 6.20 g/cm³. The formation energy (no corrections) is -2021 meV/atom.

Cell and atoms, written as POSCAR:
```
Pr3Ho4S8
1.0
5.635 -5.639 0.000
5.635 5.639 0.000
-5.581 0.000 5.644
Pr Ho S
3 4 8
Direct
0.000 0.000 0.000 Pr
0.000 0.500 0.000 Pr
0.500 0.000 0.000 Pr
0.000 0.500 0.500 Ho
0.500 0.000 0.500 Ho
0.500 0.500 0.000 Ho
0.500 0.500 0.500 Ho
0.255 0.745 0.500 S
0.257 0.743 0.000 S
0.260 0.260 0.513 S
0.262 0.262 0.011 S
0.738 0.738 0.989 S
0.740 0.740 0.487 S
0.743 0.257 0.000 S
0.745 0.255 0.500 S
```